A relaxed structure of NbMo3O, computed with GGA+U.

Cell lengths 4.2331, 4.2331, 4.2331 Å; angles 90.00, 90.00, 90.00 degrees
With the nearest neighbours (Å) after each atom.
Atoms (fractional coordinates):
Nb  0.5000  0.5000  0.5000  12 Mo 2.99
Mo  0.0000  0.0000  0.5000  2 O 2.12
O  0.0000  0.0000  0.0000  6 Mo 2.12
Mo  0.0000  0.5000  0.0000  2 O 2.12
Mo  0.5000  0.0000  0.0000  2 O 2.12

**Final energy**: -33.440 eV per cell